one.
Computed, not measured: an optimized crystal structure of Re2AsCl at the PBE level of DFT.

Cell and atoms, written as CIF:
```
data_Re2AsCl
_cell_length_a 6.4403
_cell_length_b 6.4403
_cell_length_c 6.4403
_cell_angle_alpha 128.91
_cell_angle_beta 128.91
_cell_angle_gamma 75.16
_space_group_name_H-M_alt 'P 1'
_space_group_IT_number 1
loop_
_space_group_symop_operation_xyz
'x,y,z'
loop_
_atom_site_label
_atom_site_type_symbol
_atom_site_fract_x
_atom_site_fract_y
_atom_site_fract_z
Re1 Re 0.1006 0.6250 0.9756
Re2 Re 0.3750 0.3506 0.4756
Re3 Re 0.6494 0.1250 0.0244
Re4 Re 0.8750 0.8994 0.5244
As1 As 0.2500 0.7500 0.5000
As2 As 0.5000 0.5000 0.0000
Cl1 Cl 0.0000 0.0000 0.0000
Cl2 Cl 0.7500 0.2500 0.5000
```

Properties
* space group: I-42d
* total magnetization: 0.0 μB per cell

two.
Computed, not measured: an optimized crystal structure of Re2AsCl at the PBE level of DFT.

Cell and atoms, written as CIF:
```
data_Re2AsCl
_cell_length_a 3.1352
_cell_length_b 3.1976
_cell_length_c 6.8547
_cell_angle_alpha 90.00
_cell_angle_beta 90.00
_cell_angle_gamma 90.00
_space_group_name_H-M_alt 'P 1'
_space_group_IT_number 1
loop_
_space_group_symop_operation_xyz
'x,y,z'
loop_
_atom_site_label
_atom_site_type_symbol
_atom_site_fract_x
_atom_site_fract_y
_atom_site_fract_z
Re1 Re 0.0000 0.0000 0.1860
Re2 Re 0.0000 0.0000 0.8140
As1 As 0.5000 0.5000 0.0000
Cl1 Cl 0.0000 0.5000 0.5000
```

Properties
* space group: Pmmm
* total magnetization: 0.0 μB per cell

three.
Computed, not measured: an optimized crystal structure of Re2AsCl at the PBE level of DFT.

Cell and atoms, written as CIF:
```
data_Re2AsCl
_cell_length_a 4.2385
_cell_length_b 4.2385
_cell_length_c 8.0666
_cell_angle_alpha 102.85
_cell_angle_beta 102.85
_cell_angle_gamma 40.28
_space_group_name_H-M_alt 'P 1'
_space_group_IT_number 1
loop_
_space_group_symop_operation_xyz
'x,y,z'
loop_
_atom_site_label
_atom_site_type_symbol
_atom_site_fract_x
_atom_site_fract_y
_atom_site_fract_z
Re1 Re 0.0000 0.0000 0.0000
Re2 Re 0.6986 0.6986 0.8468
As1 As 0.3738 0.3738 0.6849
Cl1 Cl 0.5415 0.5415 0.2439
```

Properties
* space group: Cm
* total magnetization: 0.0 μB per cell

four.
Computed, not measured: an optimized crystal structure of Re2AsCl at the PBE level of DFT.

Cell and atoms, written as CIF:
```
data_Re2AsCl
_cell_length_a 5.2092
_cell_length_b 5.2092
_cell_length_c 2.7047
_cell_angle_alpha 98.75
_cell_angle_beta 98.75
_cell_angle_gamma 112.69
_space_group_name_H-M_alt 'P 1'
_space_group_IT_number 1
loop_
_space_group_symop_operation_xyz
'x,y,z'
loop_
_atom_site_label
_atom_site_type_symbol
_atom_site_fract_x
_atom_site_fract_y
_atom_site_fract_z
Re1 Re 0.0000 0.5000 0.0000
Re2 Re 0.5000 0.0000 0.0000
As1 As 0.0000 0.0000 0.0000
Cl1 Cl 0.5000 0.5000 0.0000
```

Properties
* space group: C2/m
* total magnetization: 0.0 μB per cell

Stability ranking, top and bottom: three is the most stable and one is the least stable.

one.
Computed, not measured: an optimized crystal structure of Re2AsCl at the PBE level of DFT.

Cell and atoms, written as CIF:
```
data_Re2AsCl
_cell_length_a 5.2199
_cell_length_b 5.2199
_cell_length_c 5.2199
_cell_angle_alpha 148.29
_cell_angle_beta 118.12
_cell_angle_gamma 71.21
_space_group_name_H-M_alt 'P 1'
_space_group_IT_number 1
loop_
_space_group_symop_operation_xyz
'x,y,z'
loop_
_atom_site_label
_atom_site_type_symbol
_atom_site_fract_x
_atom_site_fract_y
_atom_site_fract_z
Re1 Re 0.2404 0.2404 0.0000
Re2 Re 0.7596 0.7596 0.0000
As1 As 0.0000 0.5000 0.5000
Cl1 Cl 0.5000 0.0000 0.5000
```

Properties
* space group: Immm
* total magnetization: 0.0 μB per cell

two.
Computed, not measured: an optimized crystal structure of Re2AsCl at the PBE level of DFT.

Cell and atoms, written as CIF:
```
data_Re2AsCl
_cell_length_a 2.9855
_cell_length_b 2.9855
_cell_length_c 8.4569
_cell_angle_alpha 90.00
_cell_angle_beta 90.00
_cell_angle_gamma 121.54
_space_group_name_H-M_alt 'P 1'
_space_group_IT_number 1
loop_
_space_group_symop_operation_xyz
'x,y,z'
loop_
_atom_site_label
_atom_site_type_symbol
_atom_site_fract_x
_atom_site_fract_y
_atom_site_fract_z
Re1 Re 0.0000 0.0000 0.2371
Re2 Re 0.0000 0.0000 0.7629
As1 As 0.5000 0.5000 0.0000
Cl1 Cl 0.5000 0.5000 0.5000
```

Properties
* space group: Cmmm
* total magnetization: 0.0 μB per cell

three.
Computed, not measured: an optimized crystal structure of Re2AsCl at the PBE level of DFT.

Cell and atoms, written as CIF:
```
data_Re2AsCl
_cell_length_a 10.1444
_cell_length_b 10.1444
_cell_length_c 10.1444
_cell_angle_alpha 16.61
_cell_angle_beta 16.61
_cell_angle_gamma 16.61
_space_group_name_H-M_alt 'P 1'
_space_group_IT_number 1
loop_
_space_group_symop_operation_xyz
'x,y,z'
loop_
_atom_site_label
_atom_site_type_symbol
_atom_site_fract_x
_atom_site_fract_y
_atom_site_fract_z
Re1 Re 0.0000 0.0000 0.0000
Re2 Re 0.2628 0.2628 0.2628
As1 As 0.7339 0.7339 0.7339
Cl1 Cl 0.5331 0.5331 0.5331
```

Properties
* space group: R3m
* total magnetization: 0.0 μB per cell

Stability ranking, top and bottom: three is the most stable and one is the least stable.

one.
Computed, not measured: an optimized crystal structure of Re2AsCl at the PBE level of DFT.

Cell and atoms, written as CIF:
```
data_Re2AsCl
_cell_length_a 2.9605
_cell_length_b 2.9437
_cell_length_c 9.1651
_cell_angle_alpha 90.00
_cell_angle_beta 98.94
_cell_angle_gamma 90.00
_space_group_name_H-M_alt 'P 1'
_space_group_IT_number 1
loop_
_space_group_symop_operation_xyz
'x,y,z'
loop_
_atom_site_label
_atom_site_type_symbol
_atom_site_fract_x
_atom_site_fract_y
_atom_site_fract_z
Re1 Re 0.0000 0.0000 0.0000
Re2 Re 0.4116 0.5000 0.8165
As1 As 0.8196 0.0000 0.6248
Cl1 Cl 0.1012 0.5000 0.2099
```

Properties
* space group: Pm
* total magnetization: 0.0 μB per cell

two.
Computed, not measured: an optimized crystal structure of Re2AsCl at the PBE level of DFT.

Cell and atoms, written as CIF:
```
data_Re2AsCl
_cell_length_a 4.6444
_cell_length_b 4.6444
_cell_length_c 4.6444
_cell_angle_alpha 125.82
_cell_angle_beta 125.82
_cell_angle_gamma 80.18
_space_group_name_H-M_alt 'P 1'
_space_group_IT_number 1
loop_
_space_group_symop_operation_xyz
'x,y,z'
loop_
_atom_site_label
_atom_site_type_symbol
_atom_site_fract_x
_atom_site_fract_y
_atom_site_fract_z
Re1 Re 0.0000 0.0000 0.0000
Re2 Re 0.7500 0.2500 0.5000
As1 As 0.2500 0.7500 0.5000
Cl1 Cl 0.5000 0.5000 0.0000
```

Properties
* space group: I-4m2
* total magnetization: 0.0 μB per cell

three.
Computed, not measured: an optimized crystal structure of Re2AsCl at the PBE level of DFT.

Cell and atoms, written as CIF:
```
data_Re2AsCl
_cell_length_a 2.9134
_cell_length_b 2.9134
_cell_length_c 9.0140
_cell_angle_alpha 90.00
_cell_angle_beta 90.00
_cell_angle_gamma 90.00
_space_group_name_H-M_alt 'P 1'
_space_group_IT_number 1
loop_
_space_group_symop_operation_xyz
'x,y,z'
loop_
_atom_site_label
_atom_site_type_symbol
_atom_site_fract_x
_atom_site_fract_y
_atom_site_fract_z
Re1 Re 0.0000 0.0000 0.0000
Re2 Re 0.5000 0.5000 0.1881
As1 As 0.0000 0.0000 0.3855
Cl1 Cl 0.5000 0.5000 0.8091
```

Properties
* space group: P4mm
* total magnetization: 0.0 μB per cell

Stability ranking, top and bottom: one is the most stable and two is the least stable.

one.
Computed, not measured: an optimized crystal structure of Re2AsCl at the PBE level of DFT.

Cell and atoms, written as CIF:
```
data_Re2AsCl
_cell_length_a 4.3664
_cell_length_b 4.3664
_cell_length_c 4.3664
_cell_angle_alpha 60.00
_cell_angle_beta 60.00
_cell_angle_gamma 60.00
_space_group_name_H-M_alt 'P 1'
_space_group_IT_number 1
loop_
_space_group_symop_operation_xyz
'x,y,z'
loop_
_atom_site_label
_atom_site_type_symbol
_atom_site_fract_x
_atom_site_fract_y
_atom_site_fract_z
Re1 Re 0.2500 0.2500 0.2500
Re2 Re 0.7500 0.7500 0.7500
As1 As 0.0000 0.0000 0.0000
Cl1 Cl 0.5000 0.5000 0.5000
```

Properties
* space group: Fm-3m
* total magnetization: 0.0 μB per cell

two.
Computed, not measured: an optimized crystal structure of Re2AsCl at the PBE level of DFT.

Cell and atoms, written as CIF:
```
data_Re2AsCl
_cell_length_a 8.2590
_cell_length_b 8.2590
_cell_length_c 8.2590
_cell_angle_alpha 20.60
_cell_angle_beta 20.60
_cell_angle_gamma 20.60
_space_group_name_H-M_alt 'P 1'
_space_group_IT_number 1
loop_
_space_group_symop_operation_xyz
'x,y,z'
loop_
_atom_site_label
_atom_site_type_symbol
_atom_site_fract_x
_atom_site_fract_y
_atom_site_fract_z
Re1 Re 0.2461 0.2461 0.2461
Re2 Re 0.7539 0.7539 0.7539
As1 As 0.5000 0.5000 0.5000
Cl1 Cl 0.0000 0.0000 0.0000
```

Properties
* space group: R-3m
* total magnetization: 0.0 μB per cell

Stability ranking, top and bottom: two is the most stable and one is the least stable.

one.
Computed, not measured: an optimized crystal structure of Re2AsCl at the PBE level of DFT.

Cell and atoms, written as CIF:
```
data_Re2AsCl
_cell_length_a 2.9162
_cell_length_b 2.9162
_cell_length_c 10.0216
_cell_angle_alpha 90.00
_cell_angle_beta 90.00
_cell_angle_gamma 120.61
_space_group_name_H-M_alt 'P 1'
_space_group_IT_number 1
loop_
_space_group_symop_operation_xyz
'x,y,z'
loop_
_atom_site_label
_atom_site_type_symbol
_atom_site_fract_x
_atom_site_fract_y
_atom_site_fract_z
Re1 Re 0.0000 0.0000 0.0000
Re2 Re 0.5000 0.5000 0.2169
As1 As 0.5000 0.5000 0.7804
Cl1 Cl 0.0000 0.0000 0.4188
```

Properties
* space group: Cmm2
* total magnetization: 0.0 μB per cell

two.
Computed, not measured: an optimized crystal structure of Re2AsCl at the PBE level of DFT.

Cell and atoms, written as CIF:
```
data_Re2AsCl
_cell_length_a 2.8392
_cell_length_b 4.2117
_cell_length_c 5.3752
_cell_angle_alpha 90.00
_cell_angle_beta 90.00
_cell_angle_gamma 90.00
_space_group_name_H-M_alt 'P 1'
_space_group_IT_number 1
loop_
_space_group_symop_operation_xyz
'x,y,z'
loop_
_atom_site_label
_atom_site_type_symbol
_atom_site_fract_x
_atom_site_fract_y
_atom_site_fract_z
Re1 Re 0.0000 0.0000 0.0000
Re2 Re 0.5000 0.0000 0.5000
As1 As 0.0000 0.5000 0.5000
Cl1 Cl 0.5000 0.5000 0.0000
```

Properties
* space group: Pmmm
* total magnetization: 0.0 μB per cell

Stability ranking, top and bottom: one is the most stable and two is the least stable.

one.
Computed, not measured: an optimized crystal structure of Re2AsCl at the PBE level of DFT.

Cell and atoms, written as CIF:
```
data_Re2AsCl
_cell_length_a 3.1307
_cell_length_b 3.1307
_cell_length_c 6.6219
_cell_angle_alpha 90.00
_cell_angle_beta 90.00
_cell_angle_gamma 90.00
_space_group_name_H-M_alt 'P 1'
_space_group_IT_number 1
loop_
_space_group_symop_operation_xyz
'x,y,z'
loop_
_atom_site_label
_atom_site_type_symbol
_atom_site_fract_x
_atom_site_fract_y
_atom_site_fract_z
Re1 Re 0.0000 0.0000 0.1984
Re2 Re 0.0000 0.0000 0.8016
As1 As 0.5000 0.5000 0.0000
Cl1 Cl 0.5000 0.5000 0.5000
```

Properties
* space group: P4/mmm
* total magnetization: 0.0 μB per cell

two.
Computed, not measured: an optimized crystal structure of Re2AsCl at the PBE level of DFT.

Cell and atoms, written as CIF:
```
data_Re2AsCl
_cell_length_a 6.0958
_cell_length_b 6.0958
_cell_length_c 6.0958
_cell_angle_alpha 152.81
_cell_angle_beta 139.83
_cell_angle_gamma 49.18
_space_group_name_H-M_alt 'P 1'
_space_group_IT_number 1
loop_
_space_group_symop_operation_xyz
'x,y,z'
loop_
_atom_site_label
_atom_site_type_symbol
_atom_site_fract_x
_atom_site_fract_y
_atom_site_fract_z
Re1 Re 0.0000 0.0000 0.0000
Re2 Re 0.8042 0.3042 0.5000
As1 As 0.2297 0.7297 0.5000
Cl1 Cl 0.5264 0.5264 0.0000
```

Properties
* space group: Imm2
* total magnetization: 0.0 μB per cell

Stability ranking, top and bottom: two is the most stable and one is the least stable.